1.
LiPmCuPt (PBE, relaxed); formation energy = -1.836 eV per formula unit
1.0
4.7842 0.0000 0.0000
2.3921 4.1433 0.0000
2.3921 1.3811 3.9063
Li Cu Pt Pm
1 1 1 1
Direct
0.5000 0.5000 0.5000
0.7500 0.7500 0.7500
0.2500 0.2500 0.2500
0.0000 0.0000 0.0000

***

2.
BeZnSe2 (PBE, relaxed); formation energy without anion corrections = -0.5489 eV/atom; energy above the lowest structure with this stoichiometry = 0.197 eV/atom
1.0
-1.4237 1.0917 3.3762
-2.3094 -1.4940 -2.6556
1.0623 -5.7338 2.3021
Be Zn Se
1 1 2
Direct
0.3333 0.6667 0.4247
0.0000 0.0000 0.9354
0.3333 0.6667 0.7849
0.6667 0.3333 0.3100

***

3.
LaHo4Tm5 (PBE, relaxed); formation energy = 0.253 eV per formula unit; energy above the lowest structure with this stoichiometry = 0.000 eV/atom
1.0
0.3474 1.0226 -3.3581
5.1298 -4.7451 -0.9288
-10.2548 -8.8259 1.8112
La Ho Tm
1 4 5
Direct
0.5000 0.0000 0.0000
0.3066 0.7980 0.2042
0.6948 0.6958 0.7963
0.6934 0.2020 0.7958
0.3052 0.3042 0.2037
0.1027 0.6003 0.4019
0.1028 0.1008 0.4019
0.8972 0.8992 0.5981
0.5000 0.5000 0.0000
0.8973 0.3997 0.5981

***

4.
SrNbBr (PBE, relaxed); formation energy without anion corrections = -0.5963 eV/atom; energy above the lowest structure with this stoichiometry = 0.035 eV/atom
1.0
3.7984 0.0000 0.0014
0.0000 3.8074 0.0000
-0.0202 0.0000 12.9142
Sr Nb Br
2 2 2
Direct
0.7450 0.2500 0.7567
0.2550 0.7500 0.2433
0.2499 0.2500 0.0000
0.7501 0.7500 0.0000
0.7555 0.2500 0.3665
0.2445 0.7500 0.6335

***

5.
LaSm8Sb6 (PBE, relaxed); formation energy without anion corrections = -0.8247 eV/atom
1.0
-1.3608 -1.0171 -8.0789
5.5928 -3.8795 -4.6717
-2.3736 -8.9672 -2.6894
La Sm Sb
1 8 6
Direct
0.0000 0.0000 0.0000
0.5505 0.2071 0.3654
0.7929 0.1231 0.6346
0.1231 0.4495 0.6346
0.6667 0.6667 0.0000
0.3333 0.3333 0.0000
0.8769 0.5505 0.3654
0.2071 0.8769 0.3654
0.4495 0.7929 0.6346
0.4088 0.0681 0.7934
0.9319 0.2703 0.2066
0.2703 0.5912 0.2066
0.7297 0.4088 0.7934
0.0681 0.7297 0.7934
0.5912 0.9319 0.2066

***

6.
Pm6Al2Ge (PBE, relaxed); formation energy = -3.066 eV per formula unit
1.0
-3.5495 1.9188 -0.8541
-3.2569 -2.7599 7.3350
4.0883 7.4297 -0.2990
Pm Al Ge
6 2 1
Direct
0.5000 0.6049 0.0000
0.5000 0.3951 0.3951
0.5000 0.0000 0.6049
0.0000 0.2670 0.0000
0.0000 0.7331 0.7332
0.0000 0.9999 0.2668
0.0000 0.3332 0.6666
0.0000 0.6667 0.3334
0.5000 0.0002 0.0000

***

7.
Sr2Be2SnO6 (PBE, relaxed); formation energy without anion corrections = -2.4602 eV/atom
1.0
-5.3545 -0.7168 -0.6355
-1.8484 -3.6892 -3.5442
-2.3596 -5.2300 2.5004
Sr Be Sn O
2 2 1 6
Direct
0.7842 0.7842 0.6473
0.2158 0.2158 0.3527
0.4141 0.4141 0.7577
0.5859 0.5859 0.2423
0.0000 0.0000 0.0000
0.7483 0.7483 0.2455
0.2579 0.7483 0.2455
0.7483 0.2579 0.2455
0.2517 0.7421 0.7545
0.7421 0.2517 0.7545
0.2517 0.2517 0.7545

***

Calculated values (eV/atom) of total DFT energy (no corrections) for the records, taken in order: -4.659; -3.541; -4.534; -5.071; -5.319; -4.852; -6.512.